Density functional theory data (GGA-PBE) for a relaxed YMg2Ni9 crystal.

a = 4.8621 Å, b = 4.8621 Å, c = 23.5958 Å
α = 90.00°, β = 90.00°, γ = 120.00°
Space group R-3m (No. 166, hexagonal axes)
One atom of each set of equivalent atoms:
Y 0.0000 0.0000 0.0000 x3
Mg 0.0000 0.0000 0.1438 x6
Ni 0.0000 0.0000 0.3336 x6
Ni 0.0000 0.0000 0.5000 x3
Ni 0.0026 0.5013 0.9156 x18

Energy relative to the elements   -270 meV/atom
Crystal system   trigonal
VASP energy   -64.9 eV/f.u.